DFT (PBE+U) results for a relaxed structure of VPbBrF2.

Cell and atoms, written as extended XYZ:
```
5
Lattice="4.519 0.000 0.000 0.000 4.519 0.000 0.000 0.000 5.889" Properties=species:S:1:pos:R:3 pbc="T T T"
V 0.000 0.000 0.000
Pb 2.260 2.260 0.000
Br 2.260 2.260 2.945
F 0.000 2.260 2.945
F 2.260 0.000 2.945
```

## Properties
- Raw total energy: -3.30 eV/atom
- V: 120.3 Å³ per cell
- Space group: P4/mmm (123)
- Spin magnetization: 3.64 Bohr magnetons per cell